Entry one
DFT (GGA-PBE) results for Zn3TeBr after structural relaxation.

- total magnetization (μB/cell) = 0.00
- space-group type = No. 221
- calculated density (g cm⁻³) = 4.076

extended XYZ file:
```
5
Lattice="5.4791 0.0000 0.0000 0.0000 5.4791 0.0000 0.0000 0.0000 5.4791" Properties=species:S:1:pos:R:3 pbc="T T T"
Zn 0.0000 2.7395 0.0000
Zn 0.0000 0.0000 2.7395
Zn 2.7395 0.0000 0.0000
Te 0.0000 0.0000 0.0000
Br 2.7395 2.7395 2.7395
```

---

Entry two
DFT (GGA-PBE) results for Zn3TeBr after structural relaxation.

- total magnetization (μB/cell) = 0.00
- space-group type = No. 221
- calculated density (g cm⁻³) = 4.860

extended XYZ file:
```
5
Lattice="5.1668 0.0000 0.0000 0.0000 5.1668 0.0000 0.0000 0.0000 5.1668" Properties=species:S:1:pos:R:3 pbc="T T T"
Zn 0.0000 2.5834 0.0000
Zn 0.0000 0.0000 2.5834
Zn 2.5834 0.0000 0.0000
Te 2.5834 2.5834 2.5834
Br 0.0000 0.0000 0.0000
```

---

Which of them is most stable, and which least? Most stable: entry one; least stable: entry two.